(1)
! Tb2Pm5Y (PBE, optimized geometry); values from VASP
&SYSTEM
  ibrav = 0, nat = 16, ntyp = 3
/
ATOMIC_SPECIES
Tb 158.93 Tb.upf
Pm 145.00 Pm.upf
Y 88.91 Y.upf
ATOMIC_POSITIONS angstrom
Tb 1.809 1.805 0.000
Tb 1.812 9.050 0.000
Tb 5.430 5.440 0.000
Tb 5.433 12.685 0.000
Pm 0.000 0.000 2.557
Pm 0.000 3.627 2.557
Pm 7.243 10.863 2.557
Pm 1.811 5.438 0.000
Pm 1.810 12.683 0.000
Pm 3.621 3.618 2.557
Pm 3.621 7.245 2.557
Pm 3.621 10.872 2.557
Pm 5.432 1.807 0.000
Pm 5.432 9.052 0.000
Y 0.000 7.245 2.557
Y 3.621 0.000 2.557
CELL_PARAMETERS angstrom
7.243 0.000 0.000
0.000 14.490 0.000
0.000 0.000 5.114
! total DFT energy (no corrections)	-39.4	eV/f.u.
! V	536.74	Å³/cell
! total magnetization	0.0	Bohr magnetons per cell
! energy relative to the elements	15	meV per atom
! energy above the most stable polymorph in this dataset	0	meV per atom
! symmetry	Pbam, No. 55

(2)
! CoTc (PBE, optimized geometry); values from VASP
&SYSTEM
  ibrav = 0, nat = 4, ntyp = 2
/
ATOMIC_SPECIES
Co 58.93 Co.upf
Tc 98.00 Tc.upf
ATOMIC_POSITIONS angstrom
Co 0.665 1.040 0.334
Co 1.994 3.119 4.239
Tc 0.665 3.119 1.828
Tc 1.994 1.040 2.744
CELL_PARAMETERS angstrom
2.659 0.000 0.000
0.000 4.159 0.000
0.000 0.000 4.573
! total DFT energy (no corrections)	-17.3	eV/f.u.
! V	50.57	Å³/cell
! total magnetization	1.1	Bohr magnetons per cell
! energy relative to the elements	67	meV per atom
! energy above the most stable polymorph in this dataset	114	meV per atom
! symmetry	Pmmn, No. 59